# 1
The following is a PBE calculation of K3DyRe2O9 after structural relaxation, from Alexandria.

Computed properties:
- Space-group type: P-3m1, No. 164
- Total DFT energy (no corrections): -0.2650 hartree per atom

Geometry as CIF:
```
data_K3DyRe2O9
_chemical_formula_sum 'K3 Dy1 Re2 O9'
_cell_length_a 5.762
_cell_length_b 5.762
_cell_length_c 7.129
_cell_angle_alpha 90.00
_cell_angle_beta 90.00
_cell_angle_gamma 120.00
_space_group_name_H-M_alt 'P 1'
_space_group_IT_number 1
_space_group_name_Hall 'P 1'
loop_
_atom_site_label
_atom_site_type_symbol
_atom_site_fract_x
_atom_site_fract_y
_atom_site_fract_z
K1 K 0.000 0.000 0.000
K2 K 0.333 0.667 0.668
K3 K 0.667 0.333 0.332
Dy1 Dy 0.000 0.000 0.500
Re1 Re 0.333 0.667 0.159
Re2 Re 0.667 0.333 0.841
O1 O 0.000 0.500 0.000
O2 O 0.179 0.357 0.309
O3 O 0.179 0.821 0.309
O4 O 0.357 0.179 0.691
O5 O 0.500 0.000 0.000
O6 O 0.500 0.500 0.000
O7 O 0.643 0.821 0.309
O8 O 0.821 0.179 0.691
O9 O 0.821 0.643 0.691
```

---

# 2
The following is a PBE calculation of NdCd9Pd2 after structural relaxation, from Alexandria.

Computed properties:
- Space-group type: I4_1/amd, No. 141
- Energy of formation from the pure elements: -0.25 eV per atom
- Total DFT energy (no corrections): -0.0810 hartree per atom

Geometry as CIF:
```
data_NdCd9Pd2
_chemical_formula_sum 'Nd2 Cd18 Pd4'
_cell_length_a 9.111
_cell_length_b 9.111
_cell_length_c 9.111
_cell_angle_alpha 99.90
_cell_angle_beta 99.90
_cell_angle_gamma 131.00
_space_group_name_H-M_alt 'P 1'
_space_group_IT_number 1
_space_group_name_Hall 'P 1'
loop_
_atom_site_label
_atom_site_type_symbol
_atom_site_fract_x
_atom_site_fract_y
_atom_site_fract_z
Nd1 Nd 0.375 0.625 0.750
Nd2 Nd 0.625 0.375 0.250
Cd1 Cd 0.125 0.875 0.250
Cd2 Cd 0.127 0.558 0.328
Cd3 Cd 0.127 0.799 0.569
Cd4 Cd 0.201 0.270 0.328
Cd5 Cd 0.201 0.873 0.931
Cd6 Cd 0.270 0.201 0.828
Cd7 Cd 0.270 0.442 0.069
Cd8 Cd 0.442 0.270 0.569
Cd9 Cd 0.442 0.873 0.172
Cd10 Cd 0.558 0.127 0.828
Cd11 Cd 0.558 0.730 0.431
Cd12 Cd 0.730 0.558 0.931
Cd13 Cd 0.730 0.799 0.172
Cd14 Cd 0.799 0.127 0.069
Cd15 Cd 0.799 0.730 0.672
Cd16 Cd 0.873 0.201 0.431
Cd17 Cd 0.873 0.442 0.672
Cd18 Cd 0.875 0.125 0.750
Pd1 Pd 0.000 0.000 0.000
Pd2 Pd 0.000 0.000 0.500
Pd3 Pd 0.000 0.500 0.000
Pd4 Pd 0.500 0.000 0.500
```

---

# 3
The following is a PBE calculation of GaNi2Pt after structural relaxation, from Alexandria.

Computed properties:
- Space-group type: P4/mmm, No. 123
- Energy of formation from the pure elements: -0.27 eV per atom
- Total DFT energy (no corrections): -0.1996 hartree per atom

Geometry as CIF:
```
data_GaNi2Pt
_chemical_formula_sum 'Ga1 Ni2 Pt1'
_cell_length_a 2.822
_cell_length_b 2.822
_cell_length_c 6.423
_cell_angle_alpha 90.00
_cell_angle_beta 90.00
_cell_angle_gamma 90.00
_space_group_name_H-M_alt 'P 1'
_space_group_IT_number 1
_space_group_name_Hall 'P 1'
loop_
_atom_site_label
_atom_site_type_symbol
_atom_site_fract_x
_atom_site_fract_y
_atom_site_fract_z
Ga1 Ga 0.000 0.000 0.000
Ni1 Ni 0.500 0.500 0.227
Ni2 Ni 0.500 0.500 0.773
Pt1 Pt 0.000 0.000 0.500
```

---

# 4
The following is a PBE calculation of Na4CePd3O8 after structural relaxation, from Alexandria.

Computed properties:
- Space-group type: C2/m, No. 12
- Total DFT energy (no corrections): -0.2043 hartree per atom

Geometry as CIF:
```
data_Na4CePd3O8
_chemical_formula_sum 'Na4 Ce1 Pd3 O8'
_cell_length_a 6.973
_cell_length_b 6.973
_cell_length_c 6.369
_cell_angle_alpha 115.79
_cell_angle_beta 115.79
_cell_angle_gamma 52.50
_space_group_name_H-M_alt 'P 1'
_space_group_IT_number 1
_space_group_name_Hall 'P 1'
loop_
_atom_site_label
_atom_site_type_symbol
_atom_site_fract_x
_atom_site_fract_y
_atom_site_fract_z
Na1 Na 0.000 0.000 0.000
Na2 Na 0.000 0.500 0.500
Na3 Na 0.500 0.000 0.500
Na4 Na 0.500 0.500 0.000
Ce1 Ce 0.000 0.000 0.500
Pd1 Pd 0.000 0.500 0.000
Pd2 Pd 0.500 0.000 0.000
Pd3 Pd 0.500 0.500 0.500
O1 O 0.218 0.218 0.761
O2 O 0.227 0.699 0.689
O3 O 0.301 0.773 0.311
O4 O 0.310 0.310 0.247
O5 O 0.690 0.690 0.753
O6 O 0.699 0.227 0.689
O7 O 0.773 0.301 0.311
O8 O 0.782 0.782 0.239
```

---

# 5
The following is a PBE calculation of TiCdBr after structural relaxation, from Alexandria.

Computed properties:
- Space-group type: P-6m2, No. 187
- Total DFT energy (no corrections): -0.1406 hartree per atom

Geometry as CIF:
```
data_TiCdBr
_chemical_formula_sum 'Ti2 Cd2 Br2'
_cell_length_a 3.329
_cell_length_b 3.329
_cell_length_c 15.226
_cell_angle_alpha 90.00
_cell_angle_beta 90.00
_cell_angle_gamma 120.00
_space_group_name_H-M_alt 'P 1'
_space_group_IT_number 1
_space_group_name_Hall 'P 1'
loop_
_atom_site_label
_atom_site_type_symbol
_atom_site_fract_x
_atom_site_fract_y
_atom_site_fract_z
Ti1 Ti 0.000 0.000 0.000
Ti2 Ti 0.333 0.667 0.500
Cd1 Cd 0.000 0.000 0.355
Cd2 Cd 0.000 0.000 0.645
Br1 Br 0.333 0.667 0.114
Br2 Br 0.333 0.667 0.886
```

---

# 6
The following is a PBE calculation of Pm8Pr3Th2 after structural relaxation, from Alexandria.

Computed properties:
- Space-group type: P-1, No. 2
- Energy of formation from the pure elements: 0.04 eV per atom
- Total DFT energy (no corrections): -0.1884 hartree per atom

Geometry as CIF:
```
data_Pm8Pr3Th2
_chemical_formula_sum 'Pm16 Pr6 Th4'
_cell_length_a 6.336
_cell_length_b 8.124
_cell_length_c 18.331
_cell_angle_alpha 99.89
_cell_angle_beta 90.45
_cell_angle_gamma 104.54
_space_group_name_H-M_alt 'P 1'
_space_group_IT_number 1
_space_group_name_Hall 'P 1'
loop_
_atom_site_label
_atom_site_type_symbol
_atom_site_fract_x
_atom_site_fract_y
_atom_site_fract_z
Pm1 Pm 0.038 0.114 0.269
Pm2 Pm 0.081 0.738 0.538
Pm3 Pm 0.120 0.352 0.809
Pm4 Pm 0.158 0.966 0.075
Pm5 Pm 0.193 0.583 0.347
Pm6 Pm 0.229 0.186 0.613
Pm7 Pm 0.304 0.417 0.153
Pm8 Pm 0.425 0.262 0.962
Pm9 Pm 0.575 0.738 0.038
Pm10 Pm 0.696 0.583 0.847
Pm11 Pm 0.771 0.814 0.387
Pm12 Pm 0.807 0.417 0.653
Pm13 Pm 0.842 0.034 0.925
Pm14 Pm 0.880 0.648 0.191
Pm15 Pm 0.919 0.262 0.462
Pm16 Pm 0.962 0.886 0.731
Pr1 Pr 0.000 0.500 0.000
Pr2 Pr 0.386 0.660 0.694
Pr3 Pr 0.460 0.887 0.231
Pr4 Pr 0.500 0.500 0.500
Pr5 Pr 0.540 0.113 0.769
Pr6 Pr 0.614 0.340 0.306
Th1 Th 0.266 0.806 0.884
Th2 Th 0.350 0.038 0.425
Th3 Th 0.650 0.962 0.575
Th4 Th 0.734 0.194 0.116
```

---

# 7
The following is a PBE calculation of HfZn9Cu2 after structural relaxation, from Alexandria.

Computed properties:
- Space-group type: I4_1/amd, No. 141
- Energy of formation from the pure elements: -0.08 eV per atom
- Total DFT energy (no corrections): -0.0938 hartree per atom

Geometry as CIF:
```
data_HfZn9Cu2
_chemical_formula_sum 'Hf2 Zn18 Cu4'
_cell_length_a 8.025
_cell_length_b 8.025
_cell_length_c 8.025
_cell_angle_alpha 99.72
_cell_angle_beta 99.72
_cell_angle_gamma 131.49
_space_group_name_H-M_alt 'P 1'
_space_group_IT_number 1
_space_group_name_Hall 'P 1'
loop_
_atom_site_label
_atom_site_type_symbol
_atom_site_fract_x
_atom_site_fract_y
_atom_site_fract_z
Hf1 Hf 0.375 0.625 0.750
Hf2 Hf 0.625 0.375 0.250
Zn1 Zn 0.125 0.554 0.330
Zn2 Zn 0.125 0.795 0.571
Zn3 Zn 0.125 0.875 0.250
Zn4 Zn 0.205 0.276 0.330
Zn5 Zn 0.205 0.875 0.929
Zn6 Zn 0.276 0.205 0.830
Zn7 Zn 0.276 0.446 0.071
Zn8 Zn 0.446 0.276 0.571
Zn9 Zn 0.446 0.875 0.170
Zn10 Zn 0.554 0.125 0.830
Zn11 Zn 0.554 0.724 0.429
Zn12 Zn 0.724 0.554 0.929
Zn13 Zn 0.724 0.795 0.170
Zn14 Zn 0.795 0.125 0.071
Zn15 Zn 0.795 0.724 0.670
Zn16 Zn 0.875 0.125 0.750
Zn17 Zn 0.875 0.205 0.429
Zn18 Zn 0.875 0.446 0.670
Cu1 Cu 0.000 0.000 0.000
Cu2 Cu 0.000 0.000 0.500
Cu3 Cu 0.000 0.500 0.000
Cu4 Cu 0.500 0.000 0.500
```

---

# 8
The following is a PBE calculation of Ac2GePtPb after structural relaxation, from Alexandria.

Computed properties:
- Space-group type: P2_1/m, No. 11
- Energy of formation from the pure elements: -0.77 eV per atom
- Total DFT energy (no corrections): -0.1944 hartree per atom

Geometry as CIF:
```
data_Ac2GePtPb
_chemical_formula_sum 'Ac4 Ge2 Pt2 Pb2'
_cell_length_a 6.656
_cell_length_b 4.707
_cell_length_c 9.201
_cell_angle_alpha 90.00
_cell_angle_beta 92.88
_cell_angle_gamma 90.00
_space_group_name_H-M_alt 'P 1'
_space_group_IT_number 1
_space_group_name_Hall 'P 1'
loop_
_atom_site_label
_atom_site_type_symbol
_atom_site_fract_x
_atom_site_fract_y
_atom_site_fract_z
Ac1 Ac 0.246 0.250 0.457
Ac2 Ac 0.251 0.250 0.027
Ac3 Ac 0.749 0.750 0.973
Ac4 Ac 0.754 0.750 0.543
Ge1 Ge 0.429 0.750 0.248
Ge2 Ge 0.571 0.250 0.752
Pt1 Pt 0.045 0.750 0.249
Pt2 Pt 0.955 0.250 0.751
Pb1 Pb 0.244 0.750 0.743
Pb2 Pb 0.756 0.250 0.257
```